Record 1
Entry from Alexandria: an optimized crystal structure of Ta2FeMo (PBE-GGA).

## Properties
Fermi-level density of states, states/eV/atom: 0.89
Raw total energy, hartree per atom: -0.3964
Formation enthalpy at 0 K, eV/atom: -0.036
Relative energy among the computed polymorphs, meV/atom: 140

Geometry as POSCAR:
```
Ta2FeMo
1.0
-1.600 2.224 4.460
1.600 -2.224 4.460
1.600 2.224 -4.460
Ta Fe Mo
2 1 1
Direct
0.000 0.000 0.000
0.738 0.238 0.500
0.245 0.745 0.500
0.489 0.489 0.000
```


Record 2
Entry from Alexandria: an optimized crystal structure of Ti3CoRh (PBE-GGA).

## Properties
Fermi-level density of states, states/eV/atom: 1.79
Raw total energy, hartree per atom: -0.2731
Formation enthalpy at 0 K, eV/atom: 0.196
Relative energy among the computed polymorphs, meV/atom: 609

Geometry as POSCAR:
```
Ti3CoRh
1.0
4.407 0.000 0.000
0.000 4.407 0.000
0.000 0.000 4.407
Ti Co Rh
3 1 1
Direct
0.000 0.000 0.500
0.000 0.500 0.000
0.500 0.000 0.000
0.000 0.000 0.000
0.500 0.500 0.500
```